Record 1
First-principles (PBE-GGA) data for LaTbAlCu after structural relaxation, as listed in the Alexandria database.

CIF file:
```
data_LaTbAlCu
_chemical_formula_sum 'La1 Tb1 Al1 Cu1'
_space_group_name_H-M_alt 'P 1'
_space_group_IT_number 1
_cell_length_a 5.191
_cell_length_b 5.191
_cell_length_c 5.191
_cell_angle_alpha 60.00
_cell_angle_beta 60.00
_cell_angle_gamma 60.00
loop_
_space_group_symop_operation_xyz
'x,y,z'
loop_
_atom_site_label
_atom_site_type_symbol
_atom_site_fract_x
_atom_site_fract_y
_atom_site_fract_z
Tb1 Tb 0.500 0.500 0.500
Al1 Al 0.250 0.250 0.250
Cu1 Cu 0.750 0.750 0.750
La1 La 0.000 0.000 0.000
```

## Properties
**Total DFT energy (no corrections)**: -4.58 eV/atom
**Total moment**: 0.00 Bohr magnetons per cell
**Calculated volume**: 98.89 Å³/f.u.
**N(E_F)**: 1.098 states/eV per atom


Record 2
First-principles (PBE-GGA) data for LaTmAlCu after structural relaxation, as listed in the Alexandria database.

CIF file:
```
data_LaTmAlCu
_chemical_formula_sum 'La1 Tm1 Al1 Cu1'
_space_group_name_H-M_alt 'P 1'
_space_group_IT_number 1
_cell_length_a 5.151
_cell_length_b 5.151
_cell_length_c 5.151
_cell_angle_alpha 60.00
_cell_angle_beta 60.00
_cell_angle_gamma 60.00
loop_
_space_group_symop_operation_xyz
'x,y,z'
loop_
_atom_site_label
_atom_site_type_symbol
_atom_site_fract_x
_atom_site_fract_y
_atom_site_fract_z
Tm1 Tm 0.000 0.000 0.000
Al1 Al 0.750 0.750 0.750
Cu1 Cu 0.250 0.250 0.250
La1 La 0.500 0.500 0.500
```

## Properties
**Total DFT energy (no corrections)**: -4.54 eV/atom
**Total moment**: 0.00 Bohr magnetons per cell
**Calculated volume**: 96.66 Å³/f.u.
**N(E_F)**: 1.006 states/eV per atom


Record 3
First-principles (PBE-GGA) data for LaYAlCu after structural relaxation, as listed in the Alexandria database.

CIF file:
```
data_LaYAlCu
_chemical_formula_sum 'La1 Y1 Al1 Cu1'
_space_group_name_H-M_alt 'P 1'
_space_group_IT_number 1
_cell_length_a 5.192
_cell_length_b 5.192
_cell_length_c 5.192
_cell_angle_alpha 60.00
_cell_angle_beta 60.00
_cell_angle_gamma 60.00
loop_
_space_group_symop_operation_xyz
'x,y,z'
loop_
_atom_site_label
_atom_site_type_symbol
_atom_site_fract_x
_atom_site_fract_y
_atom_site_fract_z
Y1 Y 0.750 0.750 0.750
Al1 Al 0.000 0.000 0.000
Cu1 Cu 0.500 0.500 0.500
La1 La 0.250 0.250 0.250
```

## Properties
**Total DFT energy (no corrections)**: -5.05 eV/atom
**Total moment**: 0.00 Bohr magnetons per cell
**Calculated volume**: 98.95 Å³/f.u.
**N(E_F)**: 1.063 states/eV per atom


Record 4
First-principles (PBE-GGA) data for La2AlZn3Cu4 after structural relaxation, as listed in the Alexandria database.

CIF file:
```
data_La2AlZn3Cu4
_chemical_formula_sum 'La2 Al1 Zn3 Cu4'
_space_group_name_H-M_alt 'P 1'
_space_group_IT_number 1
_cell_length_a 4.217
_cell_length_b 4.217
_cell_length_c 10.522
_cell_angle_alpha 90.00
_cell_angle_beta 90.00
_cell_angle_gamma 90.00
loop_
_space_group_symop_operation_xyz
'x,y,z'
loop_
_atom_site_label
_atom_site_type_symbol
_atom_site_fract_x
_atom_site_fract_y
_atom_site_fract_z
La1 La 0.500 0.000 0.249
La2 La 0.000 0.500 0.751
Al1 Al 0.500 0.500 0.500
Zn1 Zn 0.000 0.000 0.500
Zn2 Zn 0.500 0.000 0.873
Zn3 Zn 0.000 0.500 0.127
Cu1 Cu 0.500 0.500 0.000
Cu2 Cu 0.000 0.000 0.000
Cu3 Cu 0.500 0.000 0.633
Cu4 Cu 0.000 0.500 0.367
```

## Properties
**Total DFT energy (no corrections)**: -3.64 eV/atom
**Total moment**: 0.00 Bohr magnetons per cell
**Calculated volume**: 187.11 Å³/f.u.
**N(E_F)**: 0.779 states/eV per atom